1.
First-principles (GGA-PBE) data for a geometry-optimized Ni2GeSb structure, as listed in the Alexandria database.

Structure (POSCAR):
```
Ni2GeSb
1.0
0.0000 3.1272 3.1272
3.1272 0.0000 3.1272
3.1272 3.1272 0.0000
Ge Ni Sb
1 2 1
Direct
0.0000 0.0000 0.0000
0.2500 0.2500 0.2500
0.7500 0.7500 0.7500
0.5000 0.5000 0.5000
```

## Properties
The formation energy from raw total energies is 0.055 eV/atom. Its uncorrected energy is -0.1845 hartree per atom. The energy relative to the lowest polymorph listed for this composition comes out at 0.00 kJ/mol of atoms.

***

2.
First-principles (GGA-PBE) data for a geometry-optimized Li3TmTh2Te6 structure, as listed in the Alexandria database.

Structure (POSCAR):
```
Li3TmTh2Te6
1.0
7.4593 -0.0011 0.0003
-3.7288 6.4604 0.0003
-1.2442 -2.1544 7.2105
Li Te Tm Th
3 6 1 2
Direct
0.5000 0.5000 0.5000
0.8306 0.1694 0.5000
0.1694 0.8306 0.5000
0.0882 0.4122 0.2651
0.5878 0.9118 0.7349
0.7648 0.7648 0.2645
0.4122 0.0882 0.2651
0.9118 0.5878 0.7349
0.2352 0.2352 0.7355
0.0000 0.0000 0.0000
0.6663 0.3337 0.0000
0.3337 0.6663 0.0000
```

## Properties
The formation energy from raw total energies is -1.134 eV/atom. Its uncorrected energy is -0.1761 hartree per atom.